[1]
LaFePb at its PBEsol-relaxed geometry. Source: Alexandria via LeMat-Bulk, functional meta-GGA SCAN.

Properties
Total moment: 1.709 μB per formula unit
SG: I4mm, No. 107
ΔE_f: 12 meV/atom
E: -45.66 eV/atom
Fermi-level density of states: 3.40 states/eV per cell

Cell lengths 6.3703, 6.3703, 6.3703 Å; angles 149.08, 149.08, 44.30 degrees
Atoms (fractional coordinates):
La: 0.0000 0.0000 0.0000
Fe: 0.3400 0.3400 0.0000
Pb: 0.7207 0.7207 0.0000



[2]
Rb3NiF7 at its PBEsol-relaxed geometry. Source: Alexandria via LeMat-Bulk, functional meta-GGA SCAN.

Properties
Total moment: 0.076 μB per formula unit
SG: P4/mbm, No. 127
E: -11.92 eV/atom
ΔE_f (raw): -2544 meV/atom

Cell lengths 7.8916, 7.8916, 5.8069 Å; angles 90.00, 90.00, 90.00 degrees
Atoms (fractional coordinates):
Rb: 0.0000 0.0000 0.0000
Rb: 0.1892 0.3108 0.5000
Rb: 0.3108 0.8108 0.5000
Rb: 0.5000 0.5000 0.0000
Rb: 0.6892 0.1892 0.5000
Rb: 0.8108 0.6892 0.5000
Ni: 0.0000 0.5000 0.0000
Ni: 0.5000 0.0000 0.0000
F: 0.0000 0.0000 0.5000
F: 0.1121 0.6121 0.2198
F: 0.1121 0.6121 0.7802
F: 0.1602 0.3398 0.0000
F: 0.3398 0.8398 0.0000
F: 0.3879 0.1121 0.2198
F: 0.3879 0.1121 0.7802
F: 0.5000 0.5000 0.5000
F: 0.6121 0.8879 0.2198
F: 0.6121 0.8879 0.7802
F: 0.6602 0.1602 0.0000
F: 0.8398 0.6602 0.0000
F: 0.8879 0.3879 0.2198
F: 0.8879 0.3879 0.7802



[3]
BaCuP at its PBEsol-relaxed geometry. Source: Alexandria via LeMat-Bulk, functional meta-GGA SCAN.

Properties
Total moment: 0.000 μB per formula unit
SG: P6_3/mmc, No. 194
ΔE_f: -824 meV/atom
E: -22.54 eV/atom
Fermi-level density of states: 0.94 states/eV per cell

Cell lengths 4.1270, 4.1270, 9.1995 Å; angles 90.00, 90.00, 120.00 degrees
Atoms (fractional coordinates):
Ba: 0.0000 0.0000 0.0000
Ba: 0.0000 0.0000 0.5000
Cu: 0.3333 0.6667 0.2500
Cu: 0.6667 0.3333 0.7500
P: 0.3333 0.6667 0.7500
P: 0.6667 0.3333 0.2500



[4]
ZrCoSe2 at its PBEsol-relaxed geometry. Source: Alexandria via LeMat-Bulk, functional meta-GGA SCAN.

Properties
Total moment: 0.001 μB per formula unit
SG: R-3m, No. 166
Energy above the most stable polymorph in this dataset: 170 meV per atom
E: -22.24 eV/atom
Fermi-level density of states: 3.90 states/eV per cell
ΔE_f (raw): -204 meV/atom

Cell lengths 8.3390, 8.3390, 8.3390 Å; angles 22.58, 22.58, 22.58 degrees
Atoms (fractional coordinates):
Zr: 0.0000 0.0000 0.0000
Co: 0.5000 0.5000 0.5000
Se: 0.1102 0.1102 0.1102
Se: 0.8898 0.8898 0.8898



[5]
CaCu2 at its PBEsol-relaxed geometry. Source: Alexandria via LeMat-Bulk, functional meta-GGA SCAN.

Properties
Total moment: 0.000 μB per formula unit
SG: C2/m, No. 12
ΔE_f: -100 meV/atom
E: -13.45 eV/atom
Fermi-level density of states: 2.68 states/eV per cell

Cell lengths 5.5483, 5.5483, 5.5945 Å; angles 107.01, 107.01, 43.14 degrees
Atoms (fractional coordinates):
Ca: 0.1079 0.1079 0.3055
Ca: 0.8921 0.8921 0.6945
Cu: 0.2207 0.2207 0.8802
Cu: 0.3993 0.3993 0.3019
Cu: 0.6007 0.6007 0.6981
Cu: 0.7793 0.7793 0.1198



[6]
Be2SbOs at its PBEsol-relaxed geometry. Source: Alexandria via LeMat-Bulk, functional meta-GGA SCAN.

Properties
Total moment: 0.000 μB per formula unit
SG: Cmmm, No. 65
E: -29.18 eV/atom
Fermi-level density of states: 1.03 states/eV per cell
ΔE_f (raw): 284 meV/atom

Cell lengths 3.9987, 3.9987, 3.2059 Å; angles 90.00, 90.00, 92.46 degrees
Atoms (fractional coordinates):
Be: 0.0000 0.5000 0.0000
Be: 0.5000 0.0000 0.0000
Sb: 0.0000 0.0000 0.5000
Os: 0.5000 0.5000 0.5000



[7]
CrCu2Rh at its PBEsol-relaxed geometry. Source: Alexandria via LeMat-Bulk, functional meta-GGA SCAN.

Properties
Total moment: 3.197 μB per formula unit
SG: Cmmm, No. 65
ΔE_f: 177 meV/atom
E: -20.46 eV/atom
Fermi-level density of states: 4.70 states/eV per cell

Cell lengths 4.5512, 4.5512, 2.5933 Å; angles 90.00, 90.00, 115.85 degrees
Atoms (fractional coordinates):
Cr: 0.0000 0.0000 0.0000
Cu: 0.0000 0.5000 0.5000
Cu: 0.5000 0.0000 0.5000
Rh: 0.5000 0.5000 0.0000



[8]
Ce4B2N5 at its PBEsol-relaxed geometry. Source: Alexandria via LeMat-Bulk, functional meta-GGA SCAN.

Properties
Total moment: 2.327 μB per formula unit
SG: C2/m, No. 12
E: -23.39 eV/atom
Fermi-level density of states: 7.74 states/eV per cell
ΔE_f (raw): -1612 meV/atom

Cell lengths 6.2514, 6.2514, 8.8223 Å; angles 127.57, 127.57, 32.37 degrees
Atoms (fractional coordinates):
Ce: 0.0740 0.0740 0.3474
Ce: 0.3117 0.3117 0.8856
Ce: 0.6883 0.6883 0.1144
Ce: 0.9260 0.9260 0.6526
B: 0.4108 0.4108 0.3900
B: 0.5892 0.5892 0.6100
N: 0.0000 0.0000 0.0000
N: 0.2898 0.2898 0.3952
N: 0.3788 0.3788 0.1968
N: 0.6212 0.6212 0.8032
N: 0.7102 0.7102 0.6048



[9]
AsIrRh2 at its PBEsol-relaxed geometry. Source: Alexandria via LeMat-Bulk, functional meta-GGA SCAN.

Properties
Total moment: 0.001 μB per formula unit
SG: P2/m, No. 10
ΔE_f: -26 meV/atom
E: -39.73 eV/atom
Fermi-level density of states: 4.70 states/eV per cell

Cell lengths 2.7982, 3.8989, 5.3114 Å; angles 90.00, 102.80, 90.00 degrees
Atoms (fractional coordinates):
As: 0.0000 0.0000 0.0000
Ir: 0.0000 0.0000 0.5000
Rh: 0.3855 0.5000 0.2434
Rh: 0.6145 0.5000 0.7566



[10]
LiZrCo at its PBEsol-relaxed geometry. Source: Alexandria via LeMat-Bulk, functional meta-GGA SCAN.

Properties
Total moment: 0.003 μB per formula unit
SG: P3m1, No. 156
Energy above the most stable polymorph in this dataset: 133 meV per atom
ΔE_f: 207 meV/atom
E: -16.59 eV/atom
Fermi-level density of states: 2.05 states/eV per cell

Cell lengths 4.1466, 4.1466, 2.8976 Å; angles 90.00, 90.00, 120.00 degrees
Atoms (fractional coordinates):
Li: 0.0000 0.0000 0.0000
Zr: 0.3333 0.6667 0.4199
Co: 0.6667 0.3333 0.7904



[11]
Li2ZnMo at its PBEsol-relaxed geometry. Source: Alexandria via LeMat-Bulk, functional meta-GGA SCAN.

Properties
Total moment: 0.593 μB per formula unit
SG: Pmmm, No. 47
ΔE_f: 316 meV/atom
E: -12.98 eV/atom
Fermi-level density of states: 2.34 states/eV per cell

Cell lengths 2.5117, 4.2386, 5.3357 Å; angles 90.00, 90.00, 90.00 degrees
Atoms (fractional coordinates):
Li: 0.0000 0.0000 0.2464
Li: 0.0000 0.0000 0.7536
Zn: 0.5000 0.5000 0.0000
Mo: 0.5000 0.5000 0.5000



[12]
CsTc2TeC at its PBEsol-relaxed geometry. Source: Alexandria via LeMat-Bulk, functional meta-GGA SCAN.

Properties
Total moment: 6.178 μB per formula unit
SG: P4/mmm, No. 123
E: -27.06 eV/atom
Fermi-level density of states: 4.20 states/eV per cell
ΔE_f (raw): 3993 meV/atom

Cell lengths 4.8855, 4.8855, 6.5039 Å; angles 90.00, 90.00, 90.00 degrees
Atoms (fractional coordinates):
Cs: 0.0000 0.0000 0.0000
Tc: 0.0000 0.5000 0.0000
Tc: 0.5000 0.0000 0.0000
Te: 0.0000 0.0000 0.5000
C: 0.5000 0.5000 0.5000